Record 1
The following is a GGA-PBEsol calculation of a geometry-optimized AlSb2Ru structure, from the Alexandria database.

Values from the calculation:
Energy relative to the elements, uncorrected, eV per formula unit: 0.4
Total moment, Bohr magnetons per cell: 0.0
Calculated density, kg/m3: 7639

The structure in CIF format:
```
data_AlSb2Ru
_chemical_formula_sum 'Al1 Sb2 Ru1'
_cell_length_a 3.0717
_cell_length_b 4.3836
_cell_length_c 6.5683
_cell_angle_alpha 109.49
_cell_angle_beta 103.52
_cell_angle_gamma 90.00
_space_group_name_H-M_alt 'P 1'
_space_group_IT_number 1
loop_
_space_group_symop_operation_xyz
'x,y,z'
loop_
_atom_site_label
_atom_site_type_symbol
_atom_site_fract_x
_atom_site_fract_y
_atom_site_fract_z
_atom_site_occupancy
Sb1 Sb 0.9465 0.9465 0.8930 1
Sb2 Sb 0.7288 0.2288 0.4577 1
Ru1 Ru 0.2562 0.7562 0.5124 1
Al1 Al 0.5685 0.5685 0.1369 1
```



Record 2
The following is a GGA-PBEsol calculation of a geometry-optimized AlSb2Ru structure, from the Alexandria database.

Values from the calculation:
Energy relative to the elements, uncorrected, eV per formula unit: 1.1
Total moment, Bohr magnetons per cell: 0.0
Calculated density, kg/m3: 8192

The structure in CIF format:
```
data_AlSb2Ru
_chemical_formula_sum 'Al1 Sb2 Ru1'
_cell_length_a 3.2847
_cell_length_b 4.8554
_cell_length_c 4.8554
_cell_angle_alpha 103.43
_cell_angle_beta 89.86
_cell_angle_gamma 89.86
_space_group_name_H-M_alt 'P 1'
_space_group_IT_number 1
loop_
_space_group_symop_operation_xyz
'x,y,z'
loop_
_atom_site_label
_atom_site_type_symbol
_atom_site_fract_x
_atom_site_fract_y
_atom_site_fract_z
_atom_site_occupancy
Ru1 Ru 0.5000 0.5000 0.5000 1
Al1 Al 0.5000 0.0000 0.0000 1
Sb1 Sb 0.0000 0.0000 0.5000 1
Sb2 Sb 0.0000 0.5000 0.0000 1
```



Record 3
The following is a GGA-PBEsol calculation of a geometry-optimized Sc6Al16Ru7 structure, from the Alexandria database.

Values from the calculation:
Energy of formation from the pure elements, meV per atom: -644
Total moment, Bohr magnetons per cell: 0.0
Calculated density, kg/m3: 5074

The structure in CIF format:
```
data_Sc6Al16Ru7
_chemical_formula_sum 'Sc6 Al16 Ru7'
_cell_length_a 8.6716
_cell_length_b 8.6716
_cell_length_c 8.6716
_cell_angle_alpha 60.00
_cell_angle_beta 60.00
_cell_angle_gamma 60.00
_space_group_name_H-M_alt 'P 1'
_space_group_IT_number 1
loop_
_space_group_symop_operation_xyz
'x,y,z'
loop_
_atom_site_label
_atom_site_type_symbol
_atom_site_fract_x
_atom_site_fract_y
_atom_site_fract_z
_atom_site_occupancy
Al1 Al 0.8798 0.3605 0.8798 1
Ru1 Ru 0.0000 0.0000 0.0000 1
Al2 Al 0.3358 0.3358 0.3358 1
Al3 Al 0.6642 0.0073 0.6642 1
Al4 Al 0.1202 0.1202 0.6395 1
Ru2 Ru 0.5000 0.5000 0.0000 1
Al5 Al 0.8798 0.8798 0.3605 1
Ru3 Ru 0.0000 0.0000 0.5000 1
Al6 Al 0.6642 0.6642 0.6642 1
Sc1 Sc 0.7103 0.2897 0.7103 1
Sc2 Sc 0.2897 0.2897 0.7103 1
Ru4 Ru 0.0000 0.5000 0.5000 1
Al7 Al 0.0073 0.6642 0.6642 1
Al8 Al 0.6642 0.6642 0.0073 1
Al9 Al 0.9927 0.3358 0.3358 1
Sc3 Sc 0.2897 0.7103 0.2897 1
Al10 Al 0.3358 0.9927 0.3358 1
Sc4 Sc 0.7103 0.2897 0.2897 1
Al11 Al 0.3605 0.8798 0.8798 1
Al12 Al 0.3358 0.3358 0.9927 1
Ru5 Ru 0.0000 0.5000 0.0000 1
Al13 Al 0.8798 0.8798 0.8798 1
Ru6 Ru 0.5000 0.0000 0.0000 1
Sc5 Sc 0.7103 0.7103 0.2897 1
Sc6 Sc 0.2897 0.7103 0.7103 1
Al14 Al 0.1202 0.1202 0.1202 1
Al15 Al 0.6395 0.1202 0.1202 1
Ru7 Ru 0.5000 0.0000 0.5000 1
Al16 Al 0.1202 0.6395 0.1202 1
```



Record 4
The following is a GGA-PBEsol calculation of a geometry-optimized Sc2AlRu2 structure, from the Alexandria database.

Values from the calculation:
Energy of formation from the pure elements, meV per atom: 77
Total moment, Bohr magnetons per cell: 0.0
Calculated density, kg/m3: 5554

The structure in CIF format:
```
data_Sc2AlRu2
_chemical_formula_sum 'Sc2 Al1 Ru2'
_cell_length_a 3.4270
_cell_length_b 3.4270
_cell_length_c 8.4761
_cell_angle_alpha 101.66
_cell_angle_beta 101.66
_cell_angle_gamma 90.00
_space_group_name_H-M_alt 'P 1'
_space_group_IT_number 1
loop_
_space_group_symop_operation_xyz
'x,y,z'
loop_
_atom_site_label
_atom_site_type_symbol
_atom_site_fract_x
_atom_site_fract_y
_atom_site_fract_z
_atom_site_occupancy
Sc1 Sc 0.3891 0.3891 0.7782 1
Sc2 Sc 0.6109 0.6109 0.2218 1
Ru1 Ru 0.7500 0.2500 0.5000 1
Ru2 Ru 0.2500 0.7500 0.5000 1
Al1 Al 0.0000 0.0000 0.0000 1
```



Record 5
The following is a GGA-PBEsol calculation of a geometry-optimized Sc2AlRu2 structure, from the Alexandria database.

Values from the calculation:
Energy of formation from the pure elements, meV per atom: -490
Total moment, Bohr magnetons per cell: 0.0
Calculated density, kg/m3: 6249

The structure in CIF format:
```
data_Sc2AlRu2
_chemical_formula_sum 'Sc4 Al2 Ru4'
_cell_length_a 3.9917
_cell_length_b 6.5174
_cell_length_c 6.5174
_cell_angle_alpha 90.00
_cell_angle_beta 90.00
_cell_angle_gamma 90.00
_space_group_name_H-M_alt 'P 1'
_space_group_IT_number 1
loop_
_space_group_symop_operation_xyz
'x,y,z'
loop_
_atom_site_label
_atom_site_type_symbol
_atom_site_fract_x
_atom_site_fract_y
_atom_site_fract_z
_atom_site_occupancy
Sc1 Sc 0.5000 0.6721 0.8279 1
Al1 Al 0.0000 0.5000 0.5000 1
Ru1 Ru 0.0000 0.3595 0.8595 1
Al2 Al 0.0000 0.0000 0.0000 1
Ru2 Ru 0.0000 0.8595 0.6405 1
Sc2 Sc 0.5000 0.1721 0.6721 1
Ru3 Ru 0.0000 0.6405 0.1405 1
Sc3 Sc 0.5000 0.8279 0.3279 1
Sc4 Sc 0.5000 0.3279 0.1721 1
Ru4 Ru 0.0000 0.1405 0.3595 1
```



Record 6
The following is a GGA-PBEsol calculation of a geometry-optimized ScAlRu3 structure, from the Alexandria database.

Values from the calculation:
Energy of formation from the pure elements, meV per atom: 644
Total moment, Bohr magnetons per cell: 0.0
Calculated density, kg/m3: 7378

The structure in CIF format:
```
data_ScAlRu3
_chemical_formula_sum 'Sc1 Al1 Ru3'
_cell_length_a 4.3870
_cell_length_b 4.3870
_cell_length_c 4.3870
_cell_angle_alpha 90.00
_cell_angle_beta 90.00
_cell_angle_gamma 90.00
_space_group_name_H-M_alt 'P 1'
_space_group_IT_number 1
loop_
_space_group_symop_operation_xyz
'x,y,z'
loop_
_atom_site_label
_atom_site_type_symbol
_atom_site_fract_x
_atom_site_fract_y
_atom_site_fract_z
_atom_site_occupancy
Ru1 Ru 0.0000 0.5000 0.0000 1
Sc1 Sc 0.5000 0.5000 0.5000 1
Ru2 Ru 0.0000 0.0000 0.5000 1
Ru3 Ru 0.5000 0.0000 0.0000 1
Al1 Al 0.0000 0.0000 0.0000 1
```



Record 7
The following is a GGA-PBEsol calculation of a geometry-optimized Sc2AlRuSe structure, from the Alexandria database.

Values from the calculation:
Energy relative to the elements, uncorrected, eV per formula unit: 0.0
Total moment, Bohr magnetons per cell: 0.0
Calculated density, kg/m3: 4440

The structure in CIF format:
```
data_Sc2AlRuSe
_chemical_formula_sum 'Sc2 Al1 Ru1 Se1'
_cell_length_a 4.6235
_cell_length_b 4.9006
_cell_length_c 4.9006
_cell_angle_alpha 90.00
_cell_angle_beta 90.00
_cell_angle_gamma 90.00
_space_group_name_H-M_alt 'P 1'
_space_group_IT_number 1
loop_
_space_group_symop_operation_xyz
'x,y,z'
loop_
_atom_site_label
_atom_site_type_symbol
_atom_site_fract_x
_atom_site_fract_y
_atom_site_fract_z
_atom_site_occupancy
Sc1 Sc 0.0000 0.0000 0.5000 1
Se1 Se 0.5000 0.0000 0.0000 1
Al1 Al 0.5000 0.5000 0.5000 1
Ru1 Ru 0.0000 0.0000 0.0000 1
Sc2 Sc 0.0000 0.5000 0.0000 1
```



Record 8
The following is a GGA-PBEsol calculation of a geometry-optimized ScAl2SiRu structure, from the Alexandria database.

Values from the calculation:
Energy relative to the elements, uncorrected, eV per formula unit: 6.8
Total moment, Bohr magnetons per cell: 0.0
Calculated density, kg/m3: 3325

The structure in CIF format:
```
data_ScAl2SiRu
_chemical_formula_sum 'Sc1 Al2 Si1 Ru1'
_cell_length_a 4.3506
_cell_length_b 5.1164
_cell_length_c 5.1164
_cell_angle_alpha 90.00
_cell_angle_beta 90.00
_cell_angle_gamma 90.00
_space_group_name_H-M_alt 'P 1'
_space_group_IT_number 1
loop_
_space_group_symop_operation_xyz
'x,y,z'
loop_
_atom_site_label
_atom_site_type_symbol
_atom_site_fract_x
_atom_site_fract_y
_atom_site_fract_z
_atom_site_occupancy
Al1 Al 0.0000 0.0000 0.5000 1
Si1 Si 0.5000 0.5000 0.5000 1
Ru1 Ru 0.5000 0.0000 0.0000 1
Al2 Al 0.0000 0.5000 0.0000 1
Sc1 Sc 0.0000 0.0000 0.0000 1
```